Entry 1:
## Si5Ni (PBE-GGA)

Data for a relaxed structure of Si5Ni.

Formation energy without anion corrections (meV/atom): 242
Distance to the lowest polymorph of the same formula (meV/atom): 47
Mass density (Mg/m³): 4.09

Cell: 2.787 2.787 10.402 Å, 90.00 90.00 90.00°
Space group P4/mmm (No. 123)
Inequivalent atoms, fractional coordinates:
Si 0.000 0.000 0.000 [1 per cell]
Si 0.000 0.000 0.356 [2 per cell]
Si 0.500 0.500 0.172 [2 per cell]
Ni 0.500 0.500 0.500 [1 per cell]

Entry 2:
## SiNi2 (PBE-GGA)

Data for a relaxed structure of SiNi2.

Formation energy without anion corrections (meV/atom): -434
Mass density (Mg/m³): 7.19

Cell: 3.8274 3.8274 2.6489 Å, 90.00 90.00 120.00°
Space group P-3m1 (No. 164)
Inequivalent atoms, fractional coordinates:
Si 0.0000 0.0000 0.0000 [1 per cell]
Ni 0.3333 0.6667 0.2610 [2 per cell]

Entry 3:
## Si2Ni5 (PBE-GGA)

Data for a relaxed structure of Si2Ni5.

Formation energy without anion corrections (meV/atom): -426
Distance to the lowest polymorph of the same formula (meV/atom): 32
Mass density (Mg/m³): 7.36

Cell: 11.649 4.186 6.527 Å, 90.00 97.40 90.00°
Space group C2/c (No. 15)
Inequivalent atoms, fractional coordinates:
Si 0.099 0.191 0.090 [8 per cell]
Ni 0.000 0.207 0.750 [4 per cell]
Ni 0.109 0.319 0.438 [8 per cell]
Ni 0.213 0.166 0.815 [8 per cell]